KLiAs2 | SCAN | PBEsol geometry

CIF file:
```
data_KLiAs2
_chemical_formula_sum 'K1 Li1 As2'
_space_group_name_H-M_alt 'P 1'
_space_group_IT_number 1
_space_group_name_Hall 'P 1'
_cell_length_a 4.819
_cell_length_b 4.819
_cell_length_c 6.215
_cell_angle_alpha 100.84
_cell_angle_beta 100.84
_cell_angle_gamma 44.17
loop_
_atom_site_label
_atom_site_type_symbol
_atom_site_fract_x
_atom_site_fract_y
_atom_site_fract_z
_atom_site_occupancy
K1 K 0.000 0.000 0.000 1
Li1 Li 0.500 0.500 0.500 1
As1 As 0.243 0.243 0.635 1
As2 As 0.757 0.757 0.365 1
```

Summary:
relative energy among the computed polymorphs = 0.000 eV per atom
ΔE_f = -0.539 eV/atom
space-group type = C2/m


KLiAs3 | SCAN | PBEsol geometry

CIF file:
```
data_KLiAs3
_chemical_formula_sum 'K1 Li1 As3'
_space_group_name_H-M_alt 'P 1'
_space_group_IT_number 1
_space_group_name_Hall 'P 1'
_cell_length_a 5.394
_cell_length_b 5.394
_cell_length_c 5.394
_cell_angle_alpha 90.00
_cell_angle_beta 90.00
_cell_angle_gamma 90.00
loop_
_atom_site_label
_atom_site_type_symbol
_atom_site_fract_x
_atom_site_fract_y
_atom_site_fract_z
_atom_site_occupancy
K1 K 0.000 0.000 0.000 1
Li1 Li 0.500 0.500 0.500 1
As1 As 0.000 0.000 0.500 1
As2 As 0.000 0.500 0.000 1
As3 As 0.500 0.000 0.000 1
```

Summary:
ΔE_f = 1.285 eV/atom
space-group type = Pm-3m


K2LiAs | SCAN | PBEsol geometry

CIF file:
```
data_K2LiAs
_chemical_formula_sum 'K2 Li1 As1'
_space_group_name_H-M_alt 'P 1'
_space_group_IT_number 1
_space_group_name_Hall 'P 1'
_cell_length_a 4.735
_cell_length_b 4.735
_cell_length_c 5.043
_cell_angle_alpha 90.00
_cell_angle_beta 90.00
_cell_angle_gamma 90.00
loop_
_atom_site_label
_atom_site_type_symbol
_atom_site_fract_x
_atom_site_fract_y
_atom_site_fract_z
_atom_site_occupancy
K1 K 0.000 0.500 0.000 1
K2 K 0.500 0.000 0.000 1
Li1 Li 0.000 0.000 0.500 1
As1 As 0.500 0.500 0.500 1
```

Summary:
ΔE_f = -0.161 eV/atom
space-group type = P4/mmm


K2LiAsW | SCAN | PBEsol geometry

CIF file:
```
data_K2LiAsW
_chemical_formula_sum 'K2 Li1 As1 W1'
_space_group_name_H-M_alt 'P 1'
_space_group_IT_number 1
_space_group_name_Hall 'P 1'
_cell_length_a 6.290
_cell_length_b 6.290
_cell_length_c 4.809
_cell_angle_alpha 90.00
_cell_angle_beta 90.00
_cell_angle_gamma 90.00
loop_
_atom_site_label
_atom_site_type_symbol
_atom_site_fract_x
_atom_site_fract_y
_atom_site_fract_z
_atom_site_occupancy
K1 K 0.000 0.500 0.000 1
K2 K 0.500 0.000 0.000 1
Li1 Li 0.000 0.000 0.500 1
As1 As 0.500 0.500 0.000 1
W1 W 0.500 0.500 0.500 1
```

Summary:
ΔE_f = 0.691 eV/atom
space-group type = P4/mmm


K2MgAs | SCAN | PBEsol geometry

CIF file:
```
data_K2MgAs
_chemical_formula_sum 'K2 Mg1 As1'
_space_group_name_H-M_alt 'P 1'
_space_group_IT_number 1
_space_group_name_Hall 'P 1'
_cell_length_a 4.476
_cell_length_b 4.476
_cell_length_c 9.549
_cell_angle_alpha 103.12
_cell_angle_beta 103.12
_cell_angle_gamma 60.02
loop_
_atom_site_label
_atom_site_type_symbol
_atom_site_fract_x
_atom_site_fract_y
_atom_site_fract_z
_atom_site_occupancy
K1 K 0.000 0.000 0.000 1
K2 K 0.179 0.179 0.557 1
Mg1 Mg 0.757 0.757 0.278 1
As1 As 0.423 0.423 0.277 1
```

Summary:
ΔE_f = -0.476 eV/atom
space-group type = Cm


KMnAs2 | SCAN | PBEsol geometry

CIF file:
```
data_KMnAs2
_chemical_formula_sum 'K1 Mn1 As2'
_space_group_name_H-M_alt 'P 1'
_space_group_IT_number 1
_space_group_name_Hall 'P 1'
_cell_length_a 4.893
_cell_length_b 4.893
_cell_length_c 4.893
_cell_angle_alpha 60.00
_cell_angle_beta 60.00
_cell_angle_gamma 60.00
loop_
_atom_site_label
_atom_site_type_symbol
_atom_site_fract_x
_atom_site_fract_y
_atom_site_fract_z
_atom_site_occupancy
K1 K 0.000 0.000 0.000 1
Mn1 Mn 0.750 0.750 0.750 1
As1 As 0.250 0.250 0.250 1
As2 As 0.500 0.500 0.500 1
```

Summary:
relative energy among the computed polymorphs = 0.529 eV per atom
ΔE_f = 0.337 eV/atom
space-group type = F-43m


KMnAs2 | SCAN | PBEsol geometry

CIF file:
```
data_KMnAs2
_chemical_formula_sum 'K1 Mn1 As2'
_space_group_name_H-M_alt 'P 1'
_space_group_IT_number 1
_space_group_name_Hall 'P 1'
_cell_length_a 2.960
_cell_length_b 3.665
_cell_length_c 8.280
_cell_angle_alpha 90.00
_cell_angle_beta 90.00
_cell_angle_gamma 90.00
loop_
_atom_site_label
_atom_site_type_symbol
_atom_site_fract_x
_atom_site_fract_y
_atom_site_fract_z
_atom_site_occupancy
K1 K 0.000 0.000 0.000 1
Mn1 Mn 0.500 0.500 0.454 1
As1 As 0.000 0.000 0.381 1
As2 As 0.500 0.500 0.729 1
```

Summary:
relative energy among the computed polymorphs = 0.075 eV per atom
ΔE_f = -0.117 eV/atom
space-group type = Pmm2


KMnAs2 | SCAN | PBEsol geometry

CIF file:
```
data_KMnAs2
_chemical_formula_sum 'K2 Mn2 As4'
_space_group_name_H-M_alt 'P 1'
_space_group_IT_number 1
_space_group_name_Hall 'P 1'
_cell_length_a 7.570
_cell_length_b 7.570
_cell_length_c 7.570
_cell_angle_alpha 133.72
_cell_angle_beta 133.72
_cell_angle_gamma 67.53
loop_
_atom_site_label
_atom_site_type_symbol
_atom_site_fract_x
_atom_site_fract_y
_atom_site_fract_z
_atom_site_occupancy
K1 K 0.375 0.625 0.750 1
K2 K 0.625 0.375 0.250 1
Mn1 Mn 0.125 0.875 0.250 1
Mn2 Mn 0.875 0.125 0.750 1
As1 As 0.000 0.000 0.000 1
As2 As 0.000 0.000 0.500 1
As3 As 0.000 0.500 0.000 1
As4 As 0.500 0.000 0.500 1
```

Summary:
relative energy among the computed polymorphs = 0.000 eV per atom
ΔE_f = -0.193 eV/atom
space-group type = I4_1/amd


KMnAs2 | SCAN | PBEsol geometry

CIF file:
```
data_KMnAs2
_chemical_formula_sum 'K1 Mn1 As2'
_space_group_name_H-M_alt 'P 1'
_space_group_IT_number 1
_space_group_name_Hall 'P 1'
_cell_length_a 5.430
_cell_length_b 5.430
_cell_length_c 2.846
_cell_angle_alpha 90.00
_cell_angle_beta 90.00
_cell_angle_gamma 107.56
loop_
_atom_site_label
_atom_site_type_symbol
_atom_site_fract_x
_atom_site_fract_y
_atom_site_fract_z
_atom_site_occupancy
K1 K 0.000 0.000 0.000 1
Mn1 Mn 0.500 0.500 0.000 1
As1 As 0.000 0.500 0.500 1
As2 As 0.500 0.000 0.500 1
```

Summary:
relative energy among the computed polymorphs = 0.244 eV per atom
ΔE_f = 0.051 eV/atom
space-group type = Cmmm


KMn2As | SCAN | PBEsol geometry

CIF file:
```
data_KMn2As
_chemical_formula_sum 'K1 Mn2 As1'
_space_group_name_H-M_alt 'P 1'
_space_group_IT_number 1
_space_group_name_Hall 'P 1'
_cell_length_a 5.226
_cell_length_b 5.226
_cell_length_c 5.226
_cell_angle_alpha 132.42
_cell_angle_beta 132.42
_cell_angle_gamma 69.57
loop_
_atom_site_label
_atom_site_type_symbol
_atom_site_fract_x
_atom_site_fract_y
_atom_site_fract_z
_atom_site_occupancy
K1 K 0.000 0.000 0.000 1
Mn1 Mn 0.500 0.500 0.000 1
Mn2 Mn 0.750 0.250 0.500 1
As1 As 0.250 0.750 0.500 1
```

Summary:
ΔE_f = 0.420 eV/atom
space-group type = I-4m2


KMnAs2 | SCAN | PBEsol geometry

CIF file:
```
data_KMnAs2
_chemical_formula_sum 'K1 Mn1 As2'
_space_group_name_H-M_alt 'P 1'
_space_group_IT_number 1
_space_group_name_Hall 'P 1'
_cell_length_a 4.471
_cell_length_b 4.471
_cell_length_c 4.126
_cell_angle_alpha 90.00
_cell_angle_beta 90.00
_cell_angle_gamma 90.00
loop_
_atom_site_label
_atom_site_type_symbol
_atom_site_fract_x
_atom_site_fract_y
_atom_site_fract_z
_atom_site_occupancy
K1 K 0.000 0.000 0.000 1
Mn1 Mn 0.500 0.500 0.000 1
As1 As 0.000 0.500 0.500 1
As2 As 0.500 0.000 0.500 1
```

Summary:
relative energy among the computed polymorphs = 0.290 eV per atom
ΔE_f = 0.098 eV/atom
space-group type = P4/mmm


KMn4As | SCAN | PBEsol geometry

CIF file:
```
data_KMn4As
_chemical_formula_sum 'K1 Mn4 As1'
_space_group_name_H-M_alt 'P 1'
_space_group_IT_number 1
_space_group_name_Hall 'P 1'
_cell_length_a 5.389
_cell_length_b 5.389
_cell_length_c 5.389
_cell_angle_alpha 60.00
_cell_angle_beta 60.00
_cell_angle_gamma 60.00
loop_
_atom_site_label
_atom_site_type_symbol
_atom_site_fract_x
_atom_site_fract_y
_atom_site_fract_z
_atom_site_occupancy
K1 K 0.000 0.000 0.000 1
Mn1 Mn 0.376 0.376 0.376 1
Mn2 Mn 0.376 0.376 0.872 1
Mn3 Mn 0.376 0.872 0.376 1
Mn4 Mn 0.872 0.376 0.376 1
As1 As 0.750 0.750 0.750 1
```

Summary:
ΔE_f = 0.377 eV/atom
space-group type = F-43m